Entry 1:
Below is an optimized crystal structure of SrAl6Ag2, with properties calculated at the PBE-GGA level. Values from VASP.

- energy above the most stable polymorph in this dataset (eV/atom) = 0.077
- ΔH_f (0 K) (meV per atom) = 22
- magnetization (μB per atom) = 0.00

The structure in Quantum ESPRESSO input format:
```
&SYSTEM
  ibrav = 0, nat = 9, ntyp = 3
/
ATOMIC_SPECIES
Sr 87.62 Sr.upf
Al 26.98 Al.upf
Ag 107.87 Ag.upf
ATOMIC_POSITIONS crystal
Sr 0.0000 0.0000 0.0000
Al 0.6962 0.9894 0.6183
Al 0.3038 0.0106 0.3817
Al 0.3038 0.3817 0.0106
Al 0.5000 0.6688 0.3312
Al 0.5000 0.3312 0.6688
Al 0.6962 0.6183 0.9894
Ag 0.8841 0.6159 0.6159
Ag 0.1159 0.3841 0.3841
CELL_PARAMETERS angstrom
4.3153 0.0000 0.0000
2.1577 7.0734 0.9253
2.1577 2.3033 6.7516
```



Entry 2:
Below is an optimized crystal structure of AlSn2, with properties calculated at the PBE-GGA level. Values from VASP.

- ΔH_f (0 K) (meV per atom) = 163
- magnetization (μB per atom) = 0.00

The structure in Quantum ESPRESSO input format:
```
&SYSTEM
  ibrav = 0, nat = 3, ntyp = 2
/
ATOMIC_SPECIES
Sn 118.71 Sn.upf
Al 26.98 Al.upf
ATOMIC_POSITIONS crystal
Sn 0.1604 0.1604 0.3181
Sn 0.8396 0.8396 0.6819
Al 0.5000 0.5000 0.0000
CELL_PARAMETERS angstrom
3.8249 -0.0803 0.0250
-0.0803 3.8249 0.0250
-1.8253 -1.8253 4.9520
```